# PBE-GGA ScAg2I2, relaxed
data_ScAg2I2
_chemical_formula_sum 'Sc2 Ag4 I4'
_cell_length_a 3.756
_cell_length_b 3.756
_cell_length_c 21.919
_cell_angle_alpha 90.00
_cell_angle_beta 90.00
_cell_angle_gamma 90.00
_space_group_name_H-M_alt 'I 4/m m m'
_space_group_IT_number 139
_space_group_name_Hall '-I 4 2'
loop_
_atom_site_label
_atom_site_type_symbol
_atom_site_fract_x
_atom_site_fract_y
_atom_site_fract_z
Sc1 Sc 0.000 0.000 0.000
Ag1 Ag 0.000 0.500 0.250
I1 I 0.000 0.000 0.419
# D(E_F) in states/eV/f.u.: 2.0
# Energy relative to the lowest polymorph listed for this composition in kJ/mol of atoms: 0.0
# ΔE_f (raw) in eV/atom: -0.254
# Calculated volume in Å³/cell: 309
# Raw total energy in eV per cell: -32.8